VASP calculation (PBE) on Ce3Y after structural relaxation.

POSCAR file:
```
Ce3Y
1.0
-1.6988 5.6670 2.9921
1.6988 -5.6670 2.9921
1.6988 5.6670 -2.9921
Ce Y
3 1
direct
0.0000 0.0000 0.0000 Ce
0.3559 0.6199 0.7360 Ce
0.8839 0.6199 0.2640 Ce
0.5061 0.0061 0.5000 Y
```

E above lowest polymorph: 67 meV/atom
uncorrected energy: -5.93 eV per atom
V: 28.8 A^3/atom
ΔE_f: 0.137 eV per atom
symmetry: Imm2 (44)



VASP calculation (PBE) on NdYCdSn after structural relaxation.

POSCAR file:
```
NdYCdSn
1.0
0.0000 3.7975 3.7975
3.7975 0.0000 3.7975
3.7975 3.7975 0.0000
Nd Y Cd Sn
1 1 1 1
direct
0.0000 0.0000 0.0000 Nd
0.5000 0.5000 0.5000 Y
0.2500 0.2500 0.2500 Cd
0.7500 0.7500 0.7500 Sn
```

uncorrected energy: -4.57 eV per atom
V: 27.4 A^3/atom
ΔE_f: -0.532 eV per atom
symmetry: F-43m (216)



VASP calculation (PBE) on Sc3ZnTe after structural relaxation.

POSCAR file:
```
Sc3ZnTe
1.0
5.0235 0.0000 0.0000
0.0000 5.0235 0.0000
0.0000 0.0000 5.0235
Sc Zn Te
3 1 1
direct
0.0000 0.0000 0.5000 Sc
0.0000 0.5000 0.0000 Sc
0.5000 0.0000 0.0000 Sc
0.0000 0.0000 0.0000 Zn
0.5000 0.5000 0.5000 Te
```

formation energy from raw total energies: -0.15 eV per atom
E above lowest polymorph: 0 meV/atom
uncorrected energy: -4.83 eV per atom
V: 25.4 A^3/atom
symmetry: Pm-3m (221)